[1]
TaAg2Os | PBEsol | relaxed

a b c (Å): 3.482 3.482 5.334
angles (deg): 90.00 90.00 90.00
Fractional coordinates of all 4 atoms:
Ta: 0.000 0.000 0.000
Ag: 0.500 0.500 0.253
Ag: 0.500 0.500 0.747
Os: 0.000 0.000 0.500

Values from the calculation:
Symmetry   P4/mmm
Final energy   -7.1462 eV/atom

[2]
TaAgOs2 | PBEsol | relaxed

a b c (Å): 4.757 4.757 4.757
angles (deg): 130.39 130.39 72.79
Fractional coordinates of all 4 atoms:
Ta: 0.000 0.000 0.000
Ag: 0.500 0.500 0.000
Os: 0.250 0.750 0.500
Os: 0.750 0.250 0.500

Values from the calculation:
Symmetry   I4/mmm
Final energy   -9.7848 eV/atom

[3]
TcAgOs2 | PBEsol | relaxed

a b c (Å): 2.704 2.704 8.002
angles (deg): 90.00 90.00 90.00
Fractional coordinates of all 4 atoms:
Tc: 0.000 0.000 0.000
Ag: 0.500 0.500 0.265
Os: 0.000 0.000 0.531
Os: 0.500 0.500 0.760

Values from the calculation:
Symmetry   P4mm
Final energy   -9.3579 eV/atom

[4]
TcAg4Os | PBEsol | relaxed

a b c (Å): 5.133 5.133 5.133
angles (deg): 60.00 60.00 60.00
Fractional coordinates of all 6 atoms:
Tc: 0.000 0.000 0.000
Ag: 0.375 0.375 0.375
Ag: 0.375 0.375 0.875
Ag: 0.375 0.875 0.375
Ag: 0.875 0.375 0.375
Os: 0.750 0.750 0.750

Values from the calculation:
Symmetry   F-43m
Final energy   -5.1215 eV/atom

[5]
TcAgOs2 | PBEsol | relaxed

a b c (Å): 4.777 4.777 4.739
angles (deg): 99.80 99.80 33.04
Fractional coordinates of all 4 atoms:
Tc: 0.000 0.000 0.000
Ag: 0.500 0.500 0.500
Os: 0.262 0.262 0.769
Os: 0.738 0.738 0.231

Values from the calculation:
Symmetry   C2/m
Final energy   -9.3162 eV/atom

[6]
TcAg2Os | PBEsol | relaxed

a b c (Å): 3.692 3.692 4.442
angles (deg): 90.00 90.00 90.00
Fractional coordinates of all 4 atoms:
Tc: 0.000 0.000 0.000
Ag: 0.000 0.500 0.500
Ag: 0.500 0.000 0.500
Os: 0.500 0.500 0.000

Values from the calculation:
Symmetry   P4/mmm
Final energy   -6.8067 eV/atom

[7]
AgTe3Os | PBEsol | relaxed

a b c (Å): 5.195 5.195 5.195
angles (deg): 90.00 90.00 90.00
Fractional coordinates of all 5 atoms:
Ag: 0.000 0.000 0.000
Te: 0.000 0.000 0.500
Te: 0.000 0.500 0.000
Te: 0.500 0.000 0.000
Os: 0.500 0.500 0.500

Values from the calculation:
Energy relative to the elements, uncorrected   1764 meV per atom
Symmetry   Pm-3m
Final energy   -3.4574 eV/atom

[8]
Ag2TeOs | PBEsol | relaxed

a b c (Å): 2.877 2.877 9.135
angles (deg): 90.00 90.00 90.00
Fractional coordinates of all 4 atoms:
Ag: 0.000 0.000 0.213
Ag: 0.000 0.000 0.787
Te: 0.500 0.500 0.500
Os: 0.500 0.500 0.000

Values from the calculation:
Energy relative to the elements, uncorrected   781 meV per atom
Symmetry   P4/mmm
Final energy   -4.8098 eV/atom

[9]
Ag2TeOs | PBEsol | relaxed

a b c (Å): 3.157 3.157 7.330
angles (deg): 90.00 90.00 90.00
Fractional coordinates of all 4 atoms:
Ag: 0.000 0.000 0.000
Ag: 0.500 0.500 0.224
Te: 0.500 0.500 0.669
Os: 0.000 0.000 0.472

Values from the calculation:
Energy relative to the elements, uncorrected   439 meV per atom
Symmetry   P4mm
Final energy   -5.1522 eV/atom

[10]
Ag2TeOs | PBEsol | relaxed

a b c (Å): 3.662 3.662 5.360
angles (deg): 90.00 90.00 90.00
Fractional coordinates of all 4 atoms:
Ag: 0.000 0.000 0.241
Ag: 0.000 0.000 0.759
Te: 0.500 0.500 0.500
Os: 0.500 0.500 0.000

Values from the calculation:
Energy relative to the elements, uncorrected   805 meV per atom
Symmetry   P4/mmm
Final energy   -4.7863 eV/atom

[11]
Ag2TeOs | PBEsol | relaxed

a b c (Å): 5.783 5.783 3.157
angles (deg): 105.83 105.83 123.71
Fractional coordinates of all 4 atoms:
Ag: 0.000 0.500 0.000
Ag: 0.500 0.000 0.000
Te: 0.000 0.000 0.500
Os: 0.500 0.500 0.500

Values from the calculation:
Energy relative to the elements, uncorrected   687 meV per atom
Symmetry   C2/m
Final energy   -4.9046 eV/atom

[12]
Ag2TeOs | PBEsol | relaxed

a b c (Å): 3.327 4.369 4.806
angles (deg): 90.00 90.00 90.00
Fractional coordinates of all 4 atoms:
Ag: 0.000 0.000 0.000
Ag: 0.500 0.500 0.000
Te: 0.000 0.500 0.500
Os: 0.500 0.000 0.500

Values from the calculation:
Energy relative to the elements, uncorrected   683 meV per atom
Symmetry   Pmmm
Final energy   -4.9086 eV/atom

[13]
TiAgOs3 | PBEsol | relaxed

a b c (Å): 4.494 4.494 4.494
angles (deg): 90.00 90.00 90.00
Fractional coordinates of all 5 atoms:
Ti: 0.000 0.000 0.000
Ag: 0.500 0.500 0.500
Os: 0.000 0.000 0.500
Os: 0.000 0.500 0.000
Os: 0.500 0.000 0.000

Values from the calculation:
Symmetry   Pm-3m
Final energy   -7.6893 eV/atom

[14]
Ag2OsW | PBEsol | relaxed

a b c (Å): 9.689 9.689 9.689
angles (deg): 16.21 16.21 16.21
Fractional coordinates of all 4 atoms:
Ag: 0.249 0.249 0.249
Ag: 0.751 0.751 0.751
Os: 0.500 0.500 0.500
W: 0.000 0.000 0.000

Values from the calculation:
Symmetry   R-3m
Final energy   -7.5416 eV/atom

[15]
Ag2OsW | PBEsol | relaxed

a b c (Å): 2.652 2.652 8.789
angles (deg): 90.00 90.00 90.00
Fractional coordinates of all 4 atoms:
Ag: 0.000 0.000 0.247
Ag: 0.000 0.000 0.753
Os: 0.500 0.500 0.000
W: 0.500 0.500 0.500

Values from the calculation:
Symmetry   P4/mmm
Final energy   -7.4112 eV/atom

[16]
AgOs2W | PBEsol | relaxed

a b c (Å): 4.860 4.860 4.860
angles (deg): 133.63 133.63 67.67
Fractional coordinates of all 4 atoms:
Ag: 0.000 0.000 0.000
Os: 0.500 0.500 0.000
Os: 0.750 0.250 0.500
W: 0.250 0.750 0.500

Values from the calculation:
Symmetry   I-4m2
Final energy   -9.8283 eV/atom

[17]
Ag2OsW | PBEsol | relaxed

a b c (Å): 2.907 2.907 7.621
angles (deg): 90.00 90.00 90.00
Fractional coordinates of all 4 atoms:
Ag: 0.000 0.000 0.000
Ag: 0.500 0.500 0.256
Os: 0.000 0.000 0.525
W: 0.500 0.500 0.724

Values from the calculation:
Symmetry   P4mm
Final energy   -7.7635 eV/atom

[18]
AgOs2W | PBEsol | relaxed

a b c (Å): 4.728 4.728 2.783
angles (deg): 90.00 90.00 107.78
Fractional coordinates of all 4 atoms:
Ag: 0.000 0.000 0.000
Os: 0.000 0.500 0.500
Os: 0.500 0.000 0.500
W: 0.500 0.500 0.000

Values from the calculation:
Symmetry   Cmmm
Final energy   -9.8451 eV/atom

[19]
AgOs2W | PBEsol | relaxed

a b c (Å): 4.400 4.400 4.400
angles (deg): 60.00 60.00 60.00
Fractional coordinates of all 4 atoms:
Ag: 0.000 0.000 0.000
Os: 0.500 0.500 0.500
Os: 0.750 0.750 0.750
W: 0.250 0.250 0.250

Values from the calculation:
Symmetry   F-43m
Final energy   -9.5533 eV/atom

[20]
YAgOs2 | PBEsol | relaxed

a b c (Å): 3.401 3.401 6.057
angles (deg): 90.00 90.00 90.00
Fractional coordinates of all 4 atoms:
Y: 0.000 0.000 0.000
Ag: 0.000 0.000 0.500
Os: 0.500 0.500 0.289
Os: 0.500 0.500 0.711

Values from the calculation:
Symmetry   P4/mmm
Final energy   -7.9722 eV/atom

[21]
ZnAgOs | PBEsol | relaxed

a b c (Å): 4.439 4.439 2.582
angles (deg): 90.00 90.00 120.00
Fractional coordinates of all 3 atoms:
Zn: 0.000 0.000 0.000
Ag: 0.333 0.667 0.252
Os: 0.667 0.333 0.710

Values from the calculation:
Symmetry   P3m1
Final energy   -5.1709 eV/atom

[22]
Zn3AgOs | PBEsol | relaxed

a b c (Å): 4.701 4.701 4.701
angles (deg): 90.00 90.00 90.00
Fractional coordinates of all 5 atoms:
Zn: 0.000 0.000 0.500
Zn: 0.000 0.500 0.000
Zn: 0.500 0.000 0.000
Ag: 0.500 0.500 0.500
Os: 0.000 0.000 0.000

Values from the calculation:
Symmetry   Pm-3m
Final energy   -3.1832 eV/atom

[23]
Zr2AgOs | PBEsol | relaxed

a b c (Å): 4.713 4.713 3.253
angles (deg): 90.00 90.00 90.00
Fractional coordinates of all 4 atoms:
Zr: 0.000 0.500 0.000
Zr: 0.500 0.000 0.000
Ag: 0.000 0.000 0.500
Os: 0.500 0.500 0.500

Values from the calculation:
Symmetry   P4/mmm
Final energy   -8.6805 eV/atom

[24]
ZrAgOs2 | PBEsol | relaxed

a b c (Å): 4.845 4.845 4.862
angles (deg): 100.92 100.92 34.86
Fractional coordinates of all 4 atoms:
Zr: 0.000 0.000 0.000
Ag: 0.500 0.500 0.500
Os: 0.252 0.252 0.740
Os: 0.748 0.748 0.260

Values from the calculation:
Symmetry   C2/m
Final energy   -8.9661 eV/atom

[25]
Zr2AgOs | PBEsol | relaxed

a b c (Å): 8.638 8.638 8.638
angles (deg): 21.72 21.72 21.72
Fractional coordinates of all 4 atoms:
Zr: 0.243 0.243 0.243
Zr: 0.757 0.757 0.757
Ag: 0.000 0.000 0.000
Os: 0.500 0.500 0.500

Values from the calculation:
Symmetry   R-3m
Final energy   -8.3729 eV/atom

[26]
Zr2AgOs | PBEsol | relaxed

a b c (Å): 5.633 5.633 4.571
angles (deg): 113.81 113.81 34.11
Fractional coordinates of all 4 atoms:
Zr: 0.000 0.000 0.000
Zr: 0.225 0.225 0.725
Ag: 0.453 0.453 0.453
Os: 0.717 0.717 0.217

Values from the calculation:
Symmetry   Cm
Final energy   -8.5193 eV/atom

[27]
ZrAgOs3 | PBEsol | relaxed

a b c (Å): 4.640 4.640 4.640
angles (deg): 90.00 90.00 90.00
Fractional coordinates of all 5 atoms:
Zr: 0.000 0.000 0.000
Ag: 0.500 0.500 0.500
Os: 0.000 0.500 0.500
Os: 0.500 0.000 0.500
Os: 0.500 0.500 0.000

Values from the calculation:
Symmetry   Pm-3m
Final energy   -7.3440 eV/atom

[28]
AgP | PBEsol | relaxed

a b c (Å): 3.909 3.909 3.909
angles (deg): 60.00 60.00 60.00
Fractional coordinates of all 2 atoms:
Ag: 0.000 0.000 0.000
P: 0.250 0.250 0.250

Values from the calculation:
Symmetry   F-43m
Final energy   -3.9572 eV/atom

[29]
AgP | PBEsol | relaxed

a b c (Å): 4.871 4.871 4.871
angles (deg): 53.18 53.18 53.18
Fractional coordinates of all 4 atoms:
Ag: 0.113 0.113 0.113
Ag: 0.887 0.887 0.887
P: 0.314 0.314 0.314
P: 0.686 0.686 0.686

Values from the calculation:
Symmetry   R-3m
Final energy   -4.1578 eV/atom

[30]
AgP | PBEsol | relaxed

a b c (Å): 5.037 5.037 5.024
angles (deg): 90.00 90.00 149.27
Fractional coordinates of all 4 atoms:
Ag: 0.236 0.764 0.750
Ag: 0.764 0.236 0.250
P: 0.500 0.500 0.250
P: 0.500 0.500 0.750

Values from the calculation:
Symmetry   Cmcm
Final energy   -4.2744 eV/atom